Entry 1:
An optimized crystal structure of AcNdTmAg, computed with PBE.

Output
DFT total energy	-3.868	eV/atom
crystal system	cubic

```
data_AcNdTmAg
_chemical_formula_sum 'Ac4 Nd4 Tm4 Ag4'
_cell_length_a 7.9267
_cell_length_b 7.9267
_cell_length_c 7.9267
_cell_angle_alpha 90.00
_cell_angle_beta 90.00
_cell_angle_gamma 90.00
_space_group_name_H-M_alt 'F -4 3 m'
_space_group_IT_number 216
_space_group_name_Hall 'F -4 2 3'
loop_
_atom_site_label
_atom_site_type_symbol
_atom_site_fract_x
_atom_site_fract_y
_atom_site_fract_z
Ac1 Ac 0.0000 0.0000 0.0000
Nd1 Nd 0.2500 0.2500 0.2500
Tm1 Tm 0.2500 0.2500 0.7500
Ag1 Ag 0.0000 0.0000 0.5000
```

Entry 2:
An optimized crystal structure of AcNdZnAg, computed with PBE.

Output
DFT total energy	-3.492	eV/atom
crystal system	cubic
distance to the lowest polymorph of the same formula	24.4	meV/atom

```
data_AcNdZnAg
_chemical_formula_sum 'Ac4 Nd4 Zn4 Ag4'
_cell_length_a 7.6817
_cell_length_b 7.6817
_cell_length_c 7.6817
_cell_angle_alpha 90.00
_cell_angle_beta 90.00
_cell_angle_gamma 90.00
_space_group_name_H-M_alt 'F -4 3 m'
_space_group_IT_number 216
_space_group_name_Hall 'F -4 2 3'
loop_
_atom_site_label
_atom_site_type_symbol
_atom_site_fract_x
_atom_site_fract_y
_atom_site_fract_z
Ac1 Ac 0.0000 0.0000 0.0000
Nd1 Nd 0.0000 0.0000 0.5000
Zn1 Zn 0.2500 0.2500 0.2500
Ag1 Ag 0.2500 0.2500 0.7500
```

Entry 3:
An optimized crystal structure of AcNdZnAg, computed with PBE.

Output
DFT total energy	-3.516	eV/atom
crystal system	tetragonal
distance to the lowest polymorph of the same formula	0.0	meV/atom

```
data_AcNdZnAg
_chemical_formula_sum 'Ac1 Nd1 Zn1 Ag1'
_cell_length_a 3.8495
_cell_length_b 3.8495
_cell_length_c 7.5682
_cell_angle_alpha 90.00
_cell_angle_beta 90.00
_cell_angle_gamma 90.00
_space_group_name_H-M_alt 'P 4 m m'
_space_group_IT_number 99
loop_
_space_group_symop_operation_xyz
'x,y,z'
'-y,x,z'
'-x,-y,z'
'y,-x,z'
'-x,y,z'
'y,x,z'
'x,-y,z'
'-y,-x,z'
loop_
_atom_site_label
_atom_site_type_symbol
_atom_site_fract_x
_atom_site_fract_y
_atom_site_fract_z
Ac1 Ac 0.0000 0.0000 0.0000
Nd1 Nd 0.0000 0.0000 0.4882
Zn1 Zn 0.5000 0.5000 0.2677
Ag1 Ag 0.5000 0.5000 0.7214
```

Entry 4:
An optimized crystal structure of Ac4NiAg, computed with PBE.

Output
DFT total energy	-4.330	eV/atom
crystal system	monoclinic
distance to the lowest polymorph of the same formula	0.0	meV/atom

```
data_Ac4NiAg
_chemical_formula_sum 'Ac8 Ni2 Ag2'
_cell_length_a 6.7339
_cell_length_b 7.6319
_cell_length_c 8.6527
_cell_angle_alpha 90.00
_cell_angle_beta 109.04
_cell_angle_gamma 90.00
_space_group_name_H-M_alt 'P 1 21/m 1'
_space_group_IT_number 11
loop_
_space_group_symop_operation_xyz
'x,y,z'
'-x,-y,-z'
'-x,y+1/2,-z'
'x,-y+1/2,z'
loop_
_atom_site_label
_atom_site_type_symbol
_atom_site_fract_x
_atom_site_fract_y
_atom_site_fract_z
Ac1 Ac 0.0126 0.0023 0.2246
Ac2 Ac 0.4338 0.2500 0.6264
Ac3 Ac 0.4521 0.2500 0.0932
Ni1 Ni 0.2047 0.7500 0.0524
Ag1 Ag 0.1946 0.7500 0.5488
```

Entry 5:
An optimized crystal structure of Ac8Ni4Ag, computed with PBE.

Output
DFT total energy	-4.709	eV/atom
crystal system	monoclinic

```
data_Ac8Ni4Ag
_chemical_formula_sum 'Ac16 Ni8 Ag2'
_cell_length_a 19.4878
_cell_length_b 4.1759
_cell_length_c 13.7609
_cell_angle_alpha 90.00
_cell_angle_beta 131.06
_cell_angle_gamma 90.00
_space_group_name_H-M_alt 'C 1 2/m 1'
_space_group_IT_number 12
loop_
_space_group_symop_operation_xyz
'x,y,z'
'-x,-y,-z'
'-x,y,-z'
'x,-y,z'
'x+1/2,y+1/2,z'
'-x+1/2,-y+1/2,-z'
'-x+1/2,y+1/2,-z'
'x+1/2,-y+1/2,z'
loop_
_atom_site_label
_atom_site_type_symbol
_atom_site_fract_x
_atom_site_fract_y
_atom_site_fract_z
Ac1 Ac 0.0461 0.0000 0.1898
Ac2 Ac 0.1024 0.5000 0.7585
Ac3 Ac 0.1735 0.5000 0.5384
Ac4 Ac 0.1764 0.5000 0.1023
Ni1 Ni 0.1829 0.5000 0.3301
Ni2 Ni 0.2012 0.0000 0.9676
Ag1 Ag 0.0000 0.0000 0.5000
```

Entry 6:
An optimized crystal structure of Ac4Ni2Ag5, computed with PBE.

Output
DFT total energy	-4.093	eV/atom
crystal system	monoclinic

```
data_Ac4Ni2Ag5
_chemical_formula_sum 'Ac4 Ni2 Ag5'
_cell_length_a 7.6445
_cell_length_b 4.3041
_cell_length_c 8.9088
_cell_angle_alpha 90.00
_cell_angle_beta 90.51
_cell_angle_gamma 90.00
_space_group_name_H-M_alt 'P 1 2/m 1'
_space_group_IT_number 10
loop_
_space_group_symop_operation_xyz
'x,y,z'
'-x,-y,-z'
'-x,y,-z'
'x,-y,z'
loop_
_atom_site_label
_atom_site_type_symbol
_atom_site_fract_x
_atom_site_fract_y
_atom_site_fract_z
Ac1 Ac 0.2123 0.0000 0.3510
Ac2 Ac 0.2340 0.0000 0.8959
Ni1 Ni 0.0663 0.5000 0.1236
Ag1 Ag 0.1362 0.5000 0.6250
Ag2 Ag 0.4274 0.5000 0.1490
Ag3 Ag 0.5000 0.5000 0.5000
```

Entry 7:
An optimized crystal structure of AcNiAg, computed with PBE.

Output
DFT total energy	-4.516	eV/atom
crystal system	monoclinic
distance to the lowest polymorph of the same formula	0.0	meV/atom

```
data_AcNiAg
_chemical_formula_sum 'Ac4 Ni4 Ag4'
_cell_length_a 16.7390
_cell_length_b 4.3538
_cell_length_c 4.1672
_cell_angle_alpha 90.00
_cell_angle_beta 104.35
_cell_angle_gamma 90.00
_space_group_name_H-M_alt 'C 1 2/m 1'
_space_group_IT_number 12
loop_
_space_group_symop_operation_xyz
'x,y,z'
'-x,-y,-z'
'-x,y,-z'
'x,-y,z'
'x+1/2,y+1/2,z'
'-x+1/2,-y+1/2,-z'
'-x+1/2,y+1/2,-z'
'x+1/2,-y+1/2,z'
loop_
_atom_site_label
_atom_site_type_symbol
_atom_site_fract_x
_atom_site_fract_y
_atom_site_fract_z
Ac1 Ac 0.1089 0.0000 0.3575
Ni1 Ni 0.0353 0.5000 0.7853
Ag1 Ag 0.1981 0.5000 0.9462
```

Entry 8:
An optimized crystal structure of Ac3NiAg2, computed with PBE.

Output
DFT total energy	-4.128	eV/atom
crystal system	monoclinic
distance to the lowest polymorph of the same formula	69.0	meV/atom

```
data_Ac3NiAg2
_chemical_formula_sum 'Ac12 Ni4 Ag8'
_cell_length_a 15.0496
_cell_length_b 6.3488
_cell_length_c 8.4931
_cell_angle_alpha 90.00
_cell_angle_beta 106.37
_cell_angle_gamma 90.00
_space_group_name_H-M_alt 'C 1 2/c 1'
_space_group_IT_number 15
loop_
_space_group_symop_operation_xyz
'x,y,z'
'-x,-y,-z'
'-x,y,-z+1/2'
'x,-y,z+1/2'
'x+1/2,y+1/2,z'
'-x+1/2,-y+1/2,-z'
'-x+1/2,y+1/2,-z+1/2'
'x+1/2,-y+1/2,z+1/2'
loop_
_atom_site_label
_atom_site_type_symbol
_atom_site_fract_x
_atom_site_fract_y
_atom_site_fract_z
Ac1 Ac 0.0000 0.9997 0.2500
Ac2 Ac 0.1415 0.5003 0.0709
Ni1 Ni 0.0000 0.4995 0.2500
Ag1 Ag 0.1788 0.0003 0.0893
```

Entry 9:
An optimized crystal structure of AcNiAg, computed with PBE.

Output
DFT total energy	-4.307	eV/atom
crystal system	tetragonal
distance to the lowest polymorph of the same formula	208.3	meV/atom

```
data_AcNiAg
_chemical_formula_sum 'Ac1 Ni1 Ag1'
_cell_length_a 3.9973
_cell_length_b 3.9973
_cell_length_c 5.0519
_cell_angle_alpha 90.00
_cell_angle_beta 90.00
_cell_angle_gamma 90.00
_space_group_name_H-M_alt 'P 4/m m m'
_space_group_IT_number 123
_space_group_name_Hall '-P 4 2'
loop_
_atom_site_label
_atom_site_type_symbol
_atom_site_fract_x
_atom_site_fract_y
_atom_site_fract_z
Ac1 Ac 0.0000 0.0000 0.0000
Ni1 Ni 0.5000 0.5000 0.0000
Ag1 Ag 0.5000 0.5000 0.5000
```

Entry 10:
An optimized crystal structure of AcNiAg, computed with PBE.

Output
DFT total energy	-4.338	eV/atom
crystal system	cubic
distance to the lowest polymorph of the same formula	177.9	meV/atom

```
data_AcNiAg
_chemical_formula_sum 'Ac4 Ni4 Ag4'
_cell_length_a 6.7660
_cell_length_b 6.7660
_cell_length_c 6.7660
_cell_angle_alpha 90.00
_cell_angle_beta 90.00
_cell_angle_gamma 90.00
_space_group_name_H-M_alt 'F -4 3 m'
_space_group_IT_number 216
_space_group_name_Hall 'F -4 2 3'
loop_
_atom_site_label
_atom_site_type_symbol
_atom_site_fract_x
_atom_site_fract_y
_atom_site_fract_z
Ac1 Ac 0.0000 0.0000 0.0000
Ni1 Ni 0.2500 0.2500 0.2500
Ag1 Ag 0.0000 0.0000 0.5000
```

Number 1: formation enthalpy at 0 K 0.182 eV per atom. Number 2: formation enthalpy at 0 K -0.241 eV per atom. Number 3: formation enthalpy at 0 K -0.266 eV per atom. Number 4: formation enthalpy at 0 K -0.152 eV per atom. Number 5: formation enthalpy at 0 K -0.182 eV per atom. Number 6: formation enthalpy at 0 K -0.252 eV per atom. Number 7: formation enthalpy at 0 K -0.269 eV per atom. Number 8: formation enthalpy at 0 K -0.160 eV per atom. Number 9: formation enthalpy at 0 K -0.060 eV per atom. Number 10: formation enthalpy at 0 K -0.091 eV per atom.